Material: TaZnCu
Method: DFT, PBE-GGA
State: relaxed

Cell: 2.820 2.820 11.163 Å, 90.00 90.00 90.00°
Space group I4mm (No. 107)
One atom of each set of equivalent atoms:
Ta1 0.000 0.000 0.000 [2 per cell]
Zn1 0.000 0.000 0.318 [2 per cell]
Cu1 0.000 0.000 0.671 [2 per cell]

## Properties
- magnetization (μB per formula unit) = 0.00
- formation enthalpy at 0 K (eV/atom) = -0.005
- E_tot (eV per atom) = -5.746

=====

Material: Ac3HgPt
Method: DFT, PBE-GGA
State: relaxed

Cell: 14.516 8.176 13.570 Å, 90.00 110.18 90.00°
Space group C2/c (No. 15)
One atom of each set of equivalent atoms:
Ac1 0.063 0.246 0.056 [8 per cell]
Ac2 0.148 0.064 0.805 [8 per cell]
Ac3 0.167 0.442 0.367 [8 per cell]
Hg1 0.147 0.347 0.628 [8 per cell]
Pt1 0.000 0.211 0.250 [4 per cell]
Pt2 0.250 0.250 0.000 [4 per cell]

## Properties
- ΔE to the lowest computed polymorph (meV/atom) = 60
- magnetization (μB per formula unit) = 0.00
- formation enthalpy at 0 K (eV/atom) = -0.602
- E_tot (eV per atom) = -4.335

=====

Material: CsHCl3
Method: DFT, PBE-GGA
State: relaxed

Cell: 4.913 4.913 4.913 Å, 90.00 90.00 90.00°
Space group Pm-3m (No. 221)
One atom of each set of equivalent atoms:
Cs1 0.000 0.000 0.000 [1 per cell]
H1 0.500 0.500 0.500 [1 per cell]
Cl1 0.000 0.500 0.500 [3 per cell]

## Properties
- ΔE to the lowest computed polymorph (meV/atom) = 548
- magnetization (μB per formula unit) = 1.00
- E_tot (eV per atom) = -2.243